DFT (GGA-PBE) results for an optimized crystal structure of BiPtSe.

Results
- electronic total energy (eV/cell) = -56.11
- calculated density (g/cm³) = 11.1

```
data_BiPtSe
_cell_length_a 6.6102
_cell_length_b 6.6102
_cell_length_c 6.6102
_cell_angle_alpha 90.00
_cell_angle_beta 90.00
_cell_angle_gamma 90.00
_space_group_name_H-M_alt 'F -4 3 m'
_space_group_IT_number 216
_space_group_name_Hall 'F -4 2 3'
loop_
_atom_site_label
_atom_site_type_symbol
_atom_site_fract_x
_atom_site_fract_y
_atom_site_fract_z
_atom_site_occupancy
Bi1 Bi 0.0000 0.0000 0.0000 1
Pt1 Pt 0.2500 0.2500 0.2500 1
Se1 Se 0.0000 0.0000 0.5000 1
```